(w)
The following is a DFT calculation (PBE) of crystalline MnCu3Pd6 at its relaxed geometry.

Structure (CIF):
```
data_MnCu3Pd6
_chemical_formula_sum 'Mn2 Cu6 Pd12'
_cell_length_a 6.688
_cell_length_b 6.688
_cell_length_c 6.688
_cell_angle_alpha 91.27
_cell_angle_beta 91.27
_cell_angle_gamma 91.27
_symmetry_space_group_name_H-M 'P 1'
_symmetry_Int_Tables_number 1
loop_
_symmetry_equiv_pos_as_xyz
'x,y,z'
loop_
_atom_site_label
_atom_site_fract_x
_atom_site_fract_y
_atom_site_fract_z
Pd1 0.370 0.511 0.849
Pd2 0.949 0.622 0.853
Pd3 0.147 0.051 0.378
Pd4 0.853 0.949 0.622
Pd5 0.489 0.151 0.630
Pd6 0.622 0.853 0.949
Pd7 0.849 0.370 0.511
Pd8 0.511 0.849 0.370
Pd9 0.051 0.378 0.147
Pd10 0.378 0.147 0.051
Pd11 0.151 0.630 0.489
Pd12 0.630 0.489 0.151
Cu1 0.242 0.740 0.122
Cu2 0.878 0.758 0.260
Cu3 0.122 0.242 0.740
Cu4 0.260 0.878 0.758
Cu5 0.758 0.260 0.878
Cu6 0.740 0.122 0.242
Mn1 0.000 0.000 0.000
Mn2 0.500 0.500 0.500
```

***

(x)
The following is a DFT calculation (PBE) of crystalline MnCu3Pd6 at its relaxed geometry.

Structure (CIF):
```
data_MnCu3Pd6
_chemical_formula_sum 'Mn2 Cu6 Pd12'
_cell_length_a 4.464
_cell_length_b 7.290
_cell_length_c 9.506
_cell_angle_alpha 111.18
_cell_angle_beta 90.00
_cell_angle_gamma 90.00
_symmetry_space_group_name_H-M 'P 1'
_symmetry_Int_Tables_number 1
loop_
_symmetry_equiv_pos_as_xyz
'x,y,z'
loop_
_atom_site_label
_atom_site_fract_x
_atom_site_fract_y
_atom_site_fract_z
Cu1 0.750 0.236 0.026
Cu2 0.250 0.764 0.974
Cu3 0.250 0.550 0.374
Cu4 0.250 0.373 0.783
Cu5 0.750 0.627 0.217
Cu6 0.750 0.450 0.626
Pd1 0.750 0.742 0.510
Pd2 0.750 0.927 0.123
Pd3 0.750 0.843 0.820
Pd4 0.250 0.073 0.877
Pd5 0.250 0.258 0.490
Pd6 0.250 0.850 0.287
Pd7 0.750 0.345 0.327
Pd8 0.250 0.465 0.078
Pd9 0.250 0.157 0.180
Pd10 0.750 0.535 0.922
Pd11 0.750 0.150 0.713
Pd12 0.250 0.655 0.673
Mn1 0.250 0.957 0.586
Mn2 0.750 0.043 0.414
```

***

Relative energy of each structure, in kJ/mol of atoms: (w) 9.6; (x) 0.0.

***

(w)
The following is a DFT calculation (PBE) of crystalline MnCu3Pt at its relaxed geometry.

Structure (CIF):
```
data_MnCu3Pt
_chemical_formula_sum 'Mn2 Cu6 Pt2'
_cell_length_a 3.720
_cell_length_b 6.363
_cell_length_c 7.426
_cell_angle_alpha 57.07
_cell_angle_beta 90.00
_cell_angle_gamma 106.99
_symmetry_space_group_name_H-M 'P 1'
_symmetry_Int_Tables_number 1
loop_
_symmetry_equiv_pos_as_xyz
'x,y,z'
loop_
_atom_site_label
_atom_site_fract_x
_atom_site_fract_y
_atom_site_fract_z
Cu1 0.799 0.599 0.367
Cu2 0.514 0.027 0.683
Cu3 0.201 0.401 0.633
Cu4 0.386 0.771 0.098
Cu5 0.486 0.973 0.317
Cu6 0.614 0.229 0.902
Pt1 0.868 0.737 0.643
Pt2 0.132 0.263 0.357
Mn1 0.241 0.482 0.934
Mn2 0.759 0.518 0.066
```

***

(x)
The following is a DFT calculation (PBE) of crystalline MnCu3Pt at its relaxed geometry.

Structure (CIF):
```
data_MnCu3Pt
_chemical_formula_sum 'Mn1 Cu3 Pt1'
_cell_length_a 4.380
_cell_length_b 4.380
_cell_length_c 4.380
_cell_angle_alpha 90.00
_cell_angle_beta 90.00
_cell_angle_gamma 90.00
_symmetry_space_group_name_H-M 'P 1'
_symmetry_Int_Tables_number 1
loop_
_symmetry_equiv_pos_as_xyz
'x,y,z'
loop_
_atom_site_label
_atom_site_fract_x
_atom_site_fract_y
_atom_site_fract_z
Cu1 0.000 0.500 0.000
Cu2 0.000 0.000 0.500
Cu3 0.500 0.000 0.000
Mn1 0.000 0.000 0.000
Pt1 0.500 0.500 0.500
```

***

(y)
The following is a DFT calculation (PBE) of crystalline MnCu3Pt at its relaxed geometry.

Structure (CIF):
```
data_MnCu3Pt
_chemical_formula_sum 'Mn1 Cu3 Pt1'
_cell_length_a 4.671
_cell_length_b 4.671
_cell_length_c 4.671
_cell_angle_alpha 90.00
_cell_angle_beta 90.00
_cell_angle_gamma 90.00
_symmetry_space_group_name_H-M 'P 1'
_symmetry_Int_Tables_number 1
loop_
_symmetry_equiv_pos_as_xyz
'x,y,z'
loop_
_atom_site_label
_atom_site_fract_x
_atom_site_fract_y
_atom_site_fract_z
Cu1 0.000 0.000 0.500
Cu2 0.000 0.500 0.000
Cu3 0.500 0.000 0.000
Pt1 0.000 0.000 0.000
Mn1 0.500 0.500 0.500
```

***

(z)
The following is a DFT calculation (PBE) of crystalline MnCu3Pt at its relaxed geometry.

Structure (CIF):
```
data_MnCu3Pt
_chemical_formula_sum 'Mn2 Cu6 Pt2'
_cell_length_a 4.386
_cell_length_b 7.012
_cell_length_c 4.587
_cell_angle_alpha 70.30
_cell_angle_beta 90.00
_cell_angle_gamma 90.00
_symmetry_space_group_name_H-M 'P 1'
_symmetry_Int_Tables_number 1
loop_
_symmetry_equiv_pos_as_xyz
'x,y,z'
loop_
_atom_site_label
_atom_site_fract_x
_atom_site_fract_y
_atom_site_fract_z
Cu1 0.300 0.012 0.835
Cu2 0.300 0.202 0.227
Cu3 0.800 0.798 0.773
Cu4 0.800 0.601 0.360
Cu5 0.800 0.988 0.165
Cu6 0.300 0.399 0.640
Mn1 0.300 0.610 0.044
Mn2 0.800 0.390 0.956
Pt1 0.300 0.799 0.446
Pt2 0.800 0.201 0.554
```

***

Relative energy of each structure, in kJ/mol of atoms: (w) 26.9; (x) 118.5; (y) 96.1; (z) 0.0.

***

(w)
The following is a DFT calculation (PBE) of crystalline MnCuPt at its relaxed geometry.

Structure (CIF):
```
data_MnCuPt
_chemical_formula_sum 'Mn1 Cu1 Pt1'
_cell_length_a 4.102
_cell_length_b 4.102
_cell_length_c 4.102
_cell_angle_alpha 60.00
_cell_angle_beta 60.00
_cell_angle_gamma 60.00
_symmetry_space_group_name_H-M 'P 1'
_symmetry_Int_Tables_number 1
loop_
_symmetry_equiv_pos_as_xyz
'x,y,z'
loop_
_atom_site_label
_atom_site_fract_x
_atom_site_fract_y
_atom_site_fract_z
Pt1 0.500 0.500 0.500
Cu1 0.750 0.750 0.750
Mn1 0.000 0.000 0.000
```

***

(x)
The following is a DFT calculation (PBE) of crystalline MnCuPt at its relaxed geometry.

Structure (CIF):
```
data_MnCuPt
_chemical_formula_sum 'Mn1 Cu1 Pt1'
_cell_length_a 4.672
_cell_length_b 4.672
_cell_length_c 3.659
_cell_angle_alpha 67.02
_cell_angle_beta 67.02
_cell_angle_gamma 35.29
_symmetry_space_group_name_H-M 'P 1'
_symmetry_Int_Tables_number 1
loop_
_symmetry_equiv_pos_as_xyz
'x,y,z'
loop_
_atom_site_label
_atom_site_fract_x
_atom_site_fract_y
_atom_site_fract_z
Mn1 0.883 0.473 0.918
Pt1 0.217 0.806 0.584
Cu1 0.548 0.138 0.252
```

***

Relative energy of each structure, in kJ/mol of atoms: (w) 33.5; (x) 0.0.

***

(w)
The following is a DFT calculation (PBE) of crystalline MnCuPt at its relaxed geometry.

Structure (CIF):
```
data_MnCuPt
_chemical_formula_sum 'Mn2 Cu2 Pt2'
_cell_length_a 4.328
_cell_length_b 4.328
_cell_length_c 5.290
_cell_angle_alpha 90.00
_cell_angle_beta 90.00
_cell_angle_gamma 119.95
_symmetry_space_group_name_H-M 'P 1'
_symmetry_Int_Tables_number 1
loop_
_symmetry_equiv_pos_as_xyz
'x,y,z'
loop_
_atom_site_label
_atom_site_fract_x
_atom_site_fract_y
_atom_site_fract_z
Cu1 0.667 0.333 0.250
Cu2 0.333 0.667 0.750
Mn1 0.000 0.000 0.000
Mn2 0.000 0.000 0.500
Pt1 0.667 0.333 0.750
Pt2 0.333 0.667 0.250
```

***

(x)
The following is a DFT calculation (PBE) of crystalline MnCuPt at its relaxed geometry.

Structure (CIF):
```
data_MnCuPt
_chemical_formula_sum 'Mn1 Cu1 Pt1'
_cell_length_a 4.238
_cell_length_b 4.238
_cell_length_c 2.733
_cell_angle_alpha 90.00
_cell_angle_beta 90.00
_cell_angle_gamma 120.00
_symmetry_space_group_name_H-M 'P 1'
_symmetry_Int_Tables_number 1
loop_
_symmetry_equiv_pos_as_xyz
'x,y,z'
loop_
_atom_site_label
_atom_site_fract_x
_atom_site_fract_y
_atom_site_fract_z
Mn1 0.667 0.333 0.290
Cu1 0.000 0.000 0.040
Pt1 0.333 0.667 0.671
```

***

Relative energy of each structure, in kJ/mol of atoms: (w) 3.0; (x) 0.0.

***

(w)
The following is a DFT calculation (PBE) of crystalline MnCuPt4 at its relaxed geometry.

Structure (CIF):
```
data_MnCuPt4
_chemical_formula_sum 'Mn2 Cu2 Pt8'
_cell_length_a 2.753
_cell_length_b 7.507
_cell_length_c 8.800
_cell_angle_alpha 90.00
_cell_angle_beta 90.00
_cell_angle_gamma 90.00
_symmetry_space_group_name_H-M 'P 1'
_symmetry_Int_Tables_number 1
loop_
_symmetry_equiv_pos_as_xyz
'x,y,z'
loop_
_atom_site_label
_atom_site_fract_x
_atom_site_fract_y
_atom_site_fract_z
Mn1 0.000 0.193 0.250
Mn2 0.000 0.807 0.750
Cu1 0.000 0.460 0.750
Cu2 0.000 0.540 0.250
Pt1 0.500 0.672 0.982
Pt2 0.000 0.000 0.500
Pt3 0.500 0.328 0.018
Pt4 0.500 0.136 0.750
Pt5 0.000 0.000 0.000
Pt6 0.500 0.864 0.250
Pt7 0.500 0.328 0.482
Pt8 0.500 0.672 0.518
```

***

(x)
The following is a DFT calculation (PBE) of crystalline MnCuPt4 at its relaxed geometry.

Structure (CIF):
```
data_MnCuPt4
_chemical_formula_sum 'Mn2 Cu2 Pt8'
_cell_length_a 4.734
_cell_length_b 5.602
_cell_length_c 6.728
_cell_angle_alpha 90.00
_cell_angle_beta 91.66
_cell_angle_gamma 90.00
_symmetry_space_group_name_H-M 'P 1'
_symmetry_Int_Tables_number 1
loop_
_symmetry_equiv_pos_as_xyz
'x,y,z'
loop_
_atom_site_label
_atom_site_fract_x
_atom_site_fract_y
_atom_site_fract_z
Pt1 0.320 0.501 0.659
Pt2 0.680 0.499 0.341
Pt3 0.680 0.001 0.341
Pt4 0.500 0.750 0.999
Pt5 0.320 0.999 0.659
Pt6 0.000 0.500 0.000
Pt7 0.500 0.250 0.001
Pt8 0.000 0.000 0.000
Mn1 0.175 0.750 0.334
Mn2 0.825 0.250 0.666
Cu1 0.828 0.750 0.665
Cu2 0.172 0.250 0.335
```

***

Relative energy of each structure, in kJ/mol of atoms: (w) 10.1; (x) 0.0.